w | Density functional theory data (PBE) for an optimized crystal structure of DyY2Rh.

Summary:
total magnetization: 0.00 μB per cell
N(E_F): 5.3 states/eV/cell

POSCAR file:
```
DyY2Rh
1.0
-1.4207 -0.9433 3.0685
-2.9916 -0.8281 -1.6397
2.8582 -8.0473 -1.1506
Y Rh Dy
2 1 1
Cartesian
2.3157 -6.5198 -0.9322 Y
0.5425 -1.5274 -0.2184 Y
-2.2061 -0.8857 0.7144 Rh
-0.7770 -4.9093 0.1391 Dy
```



x | Density functional theory data (PBE) for an optimized crystal structure of DyY2Rh.

Summary:
total magnetization: 0.50 μB per cell
N(E_F): 5.7 states/eV/cell

POSCAR file:
```
DyY2Rh
1.0
3.6254 0.0000 0.0000
1.8127 3.1397 0.0000
1.8127 1.0466 10.5431
Y Rh Dy
2 1 1
Cartesian
1.8127 1.0466 7.0656 Y
5.4381 3.1397 3.4775 Y
3.6254 2.0931 5.2715 Rh
0.0000 0.0000 0.0000 Dy
```



y | Density functional theory data (PBE) for an optimized crystal structure of DyY2Rh.

Summary:
total magnetization: 0.00 μB per cell
N(E_F): 10.4 states/eV/cell

POSCAR file:
```
DyY2Rh
1.0
-0.2076 1.3402 -3.5472
-3.0439 -5.5150 0.1295
-8.0453 4.4914 2.1677
Dy Y Rh
2 4 2
Cartesian
-4.6690 -2.9682 -0.8455 Dy
-6.6278 3.2847 -0.4045 Dy
-4.3473 0.6035 0.4831 Y
-6.9495 -0.2870 -1.7331 Y
-9.8828 1.3506 -0.9428 Y
-1.4140 -1.0341 -0.3072 Y
-3.6713 -0.6030 -2.0431 Rh
-7.6255 0.9195 0.7931 Rh
```



z | Density functional theory data (PBE) for an optimized crystal structure of DyY2Rh.

Summary:
total magnetization: 0.00 μB per cell
N(E_F): 19.7 states/eV/cell

POSCAR file:
```
DyY2Rh
1.0
-4.8677 0.2432 4.0870
1.5246 -6.6578 2.2120
5.7653 3.5317 6.6563
Dy Y Rh
4 8 4
Cartesian
-0.8508 -2.5333 5.4619 Dy
-2.6946 0.8496 5.2640 Dy
3.2730 -0.3496 7.4934 Dy
5.1169 -3.7326 7.6913 Dy
0.5581 -4.2425 2.6315 Y
1.1940 0.4384 4.6311 Y
-0.2819 0.0449 7.8461 Y
3.3742 -2.0068 10.8020 Y
1.8641 1.3595 10.3238 Y
1.2282 -3.3214 8.3242 Y
2.7041 -2.9278 5.1092 Y
-0.9520 -0.8762 2.1533 Y
1.7904 -1.6510 2.7062 Rh
0.5866 -4.8817 5.4630 Rh
0.6318 -1.2319 10.2491 Rh
1.8356 1.9988 7.4923 Rh
```



Result of the stability comparison: x is the least stable of them.



w | Density functional theory data (PBE) for an optimized crystal structure of Dy2Y2Rh3.

Summary:
total magnetization: 0.00 μB per cell
N(E_F): 3.4 states/eV/cell

POSCAR file:
```
Dy2Y2Rh3
1.0
-2.6079 3.1035 2.6318
-0.1846 -4.7247 0.9576
7.8311 0.2855 2.9631
Dy Y Rh
2 2 3
Cartesian
2.2639 0.2922 1.8910 Dy
2.7746 -1.6279 4.6614 Dy
-1.0288 0.5934 2.7200 Y
6.0673 -1.9292 3.8324 Y
0.0000 0.0000 0.0000 Rh
4.5228 0.5859 3.7759 Rh
0.5158 -1.9216 2.7765 Rh
```



x | Density functional theory data (PBE) for an optimized crystal structure of Dy2Y2Rh3.

Summary:
total magnetization: 0.00 μB per cell
N(E_F): 4.0 states/eV/cell

POSCAR file:
```
Dy2Y2Rh3
1.0
4.8401 -0.0023 -0.0086
-2.4075 7.1421 1.5411
-0.0081 0.5635 4.7607
Dy Y Rh
2 2 3
Cartesian
2.4199 5.6878 4.1355 Dy
0.0046 2.0154 2.1576 Dy
2.4207 2.2900 4.5335 Y
0.0039 5.4132 1.7597 Y
0.0000 0.0000 0.0000 Rh
2.4231 3.6894 1.9564 Rh
0.0015 4.0139 4.3367 Rh
```



Result of the stability comparison: x is the least stable of them.



w | Density functional theory data (PBE) for an optimized crystal structure of Dy2YRh2.

Summary:
total magnetization: 0.00 μB per cell
N(E_F): 6.0 states/eV/cell

POSCAR file:
```
Dy2YRh2
1.0
-3.1091 2.0358 2.2593
0.3385 -3.8795 3.9616
7.2612 4.4441 5.9880
Dy Y Rh
4 2 4
Cartesian
5.9510 1.0065 9.3756 Dy
-1.4604 1.5938 2.8333 Dy
3.1860 1.9845 4.6893 Dy
1.3046 0.6159 7.5196 Dy
0.9498 -0.6984 4.0294 Y
3.5409 3.2988 8.1794 Y
4.0934 0.6631 7.1286 Rh
0.3972 1.9373 5.0802 Rh
6.3401 3.4610 7.6992 Rh
-1.8494 -0.8607 4.5097 Rh
```



x | Density functional theory data (PBE) for an optimized crystal structure of Dy2YRh2.

Summary:
total magnetization: 0.00 μB per cell
N(E_F): 6.9 states/eV/cell

POSCAR file:
```
Dy2YRh2
1.0
3.7430 0.0000 -0.5738
0.0000 4.6522 0.0000
0.1213 0.0000 13.2850
Dy Y Rh
4 2 4
Cartesian
0.2071 1.1631 1.3510 Dy
3.6571 3.4892 11.3601 Dy
2.8074 1.1631 5.8178 Dy
1.0568 3.4892 6.8933 Dy
1.4470 1.1631 9.4382 Y
2.4172 3.4892 3.2729 Y
0.6403 1.1631 4.1765 Rh
3.2239 3.4892 8.5346 Rh
1.8634 1.1631 12.1545 Rh
2.0008 3.4892 0.5567 Rh
```



Result of the stability comparison: x is the least stable of them.



w | Density functional theory data (PBE) for an optimized crystal structure of Dy4ZnRh2.

Summary:
total magnetization: 0.00 μB per cell
N(E_F): 5.3 states/eV/cell

POSCAR file:
```
Dy4ZnRh2
1.0
4.8601 0.0000 0.0000
0.0000 4.8601 0.0000
0.0000 0.0000 6.9296
Dy Zn Rh
4 1 2
Cartesian
2.4301 0.0000 1.7550 Dy
0.0000 2.4301 5.1746 Dy
2.4301 0.0000 5.1746 Dy
0.0000 2.4301 1.7550 Dy
2.4301 2.4301 0.0000 Zn
0.0000 0.0000 0.0000 Rh
2.4301 2.4301 3.4648 Rh
```



x | Density functional theory data (PBE) for an optimized crystal structure of Dy4ZnRh2.

Summary:
total magnetization: 0.00 μB per cell
N(E_F): 10.5 states/eV/cell

POSCAR file:
```
Dy4ZnRh2
1.0
1.1599 5.3438 6.1523
-6.0486 1.3990 -5.4053
-1.0663 -6.3582 2.8355
Dy Zn Rh
8 2 4
Cartesian
-1.0199 3.0181 5.6395 Dy
-3.1313 1.0372 -0.0021 Dy
-3.4267 1.4498 3.4695 Dy
-0.5352 -0.4300 6.4330 Dy
0.1593 0.5832 3.0770 Dy
-1.3677 -3.1382 2.8985 Dy
-4.7514 -1.9113 1.9297 Dy
-2.6031 4.7860 2.5119 Dy
-5.0896 -1.1090 -0.8861 Zn
-0.2383 -0.2760 0.3317 Zn
-2.2346 -0.6685 2.1194 Rh
-4.6499 3.0727 1.3240 Rh
-0.3092 3.2703 2.9287 Rh
-4.1039 -4.2260 0.1793 Rh
```



Result of the stability comparison: w is the least stable of them.



w | Density functional theory data (PBE) for an optimized crystal structure of Dy3ZnRh.

Summary:
total magnetization: 0.00 μB per cell
N(E_F): 6.6 states/eV/cell

POSCAR file:
```
Dy3ZnRh
1.0
-0.4714 -3.4865 4.4313
-3.2970 -4.4663 -1.0937
4.5521 -8.1013 -0.8914
Dy Zn Rh
6 2 2
Cartesian
2.9089 -9.6403 0.2219 Dy
-2.1253 -6.4137 2.2243 Dy
2.9215 -6.3583 -0.3666 Dy
-2.1378 -9.6958 2.8128 Dy
0.5273 -11.3954 1.7511 Dy
0.2564 -4.6587 0.6950 Dy
0.9447 -7.8353 2.3041 Zn
-0.1611 -8.2187 0.1420 Zn
-2.5903 -4.2212 0.2881 Rh
-1.1781 -3.7315 3.0495 Rh
```



x | Density functional theory data (PBE) for an optimized crystal structure of Dy3ZnRh.

Summary:
total magnetization: 0.00 μB per cell
N(E_F): 15.7 states/eV/cell

POSCAR file:
```
Dy3ZnRh
1.0
7.2079 0.0015 0.0012
-0.0027 8.6684 0.1745
-0.0027 1.9308 8.4524
Dy Zn Rh
12 4 4
Cartesian
3.5437 4.4629 8.1961 Dy
0.0549 1.6684 5.9216 Dy
3.6589 6.1378 0.4320 Dy
7.1477 8.9323 2.7065 Dy
7.1491 6.1382 0.4317 Dy
3.6574 8.9325 2.7060 Dy
0.0535 4.4624 8.1964 Dy
3.5451 1.6682 5.9221 Dy
3.6015 3.9464 3.2120 Dy
-0.0029 6.6536 5.4155 Dy
3.6010 6.6543 5.4161 Dy
7.2055 3.9471 3.2127 Dy
1.7993 8.6012 0.2578 Zn
5.4033 1.9995 8.3703 Zn
1.7993 6.4854 2.8574 Zn
5.4033 4.1153 5.7708 Zn
5.4042 3.9698 1.1534 Rh
5.4024 8.6660 4.9758 Rh
1.7984 6.6309 7.4747 Rh
1.8002 1.9346 3.6523 Rh
```



Result of the stability comparison: x is the least stable of them.